Computed, not measured: a relaxed structure of YSb2TeRh at the PBE-GGA level of DFT.

- Electronic total energy: -25.78 eV per cell
- Crystal system: tetragonal
- D(E_F): 0.92 states/eV per atom

Cell: 5.062 5.062 5.521 Å, 90.00 90.00 90.00°
Atoms (fractional coordinates):
Te: 0.000 0.000 0.500
Sb: 0.500 0.000 0.000
Sb: 0.000 0.500 0.000
Y: 0.500 0.500 0.500
Rh: 0.000 0.000 0.000



Computed, not measured: a relaxed structure of YSb2TeRh at the PBE-GGA level of DFT.

- Electronic total energy: -20.96 eV per cell
- Crystal system: tetragonal
- D(E_F): 1.64 states/eV per atom

Cell: 5.725 5.725 5.689 Å, 90.00 90.00 90.00°
Atoms (fractional coordinates):
Y: 0.000 0.000 0.000
Sb: 0.000 0.500 0.000
Sb: 0.500 0.000 0.000
Rh: 0.500 0.500 0.500
Te: 0.000 0.000 0.500



Computed, not measured: a relaxed structure of YSbTe2Rh at the PBE-GGA level of DFT.

- Electronic total energy: -20.77 eV per cell
- Crystal system: tetragonal
- D(E_F): 1.62 states/eV per atom

Cell: 5.736 5.736 5.779 Å, 90.00 90.00 90.00°
Atoms (fractional coordinates):
Te: 0.000 0.500 0.000
Te: 0.500 0.000 0.000
Rh: 0.500 0.500 0.500
Sb: 0.000 0.000 0.500
Y: 0.000 0.000 0.000



Computed, not measured: a relaxed structure of YSbTe2Rh at the PBE-GGA level of DFT.

- Electronic total energy: -25.22 eV per cell
- Crystal system: tetragonal
- D(E_F): 0.65 states/eV per atom

Cell: 5.381 5.381 4.937 Å, 90.00 90.00 90.00°
Atoms (fractional coordinates):
Sb: 0.000 0.000 0.500
Y: 0.500 0.500 0.500
Te: 0.000 0.500 0.000
Te: 0.500 0.000 0.000
Rh: 0.000 0.000 0.000



Computed, not measured: a relaxed structure of ZnSb2TeRh at the PBE-GGA level of DFT.

- Electronic total energy: -15.47 eV per cell
- Crystal system: tetragonal
- D(E_F): 0.70 states/eV per atom

Cell: 5.042 5.042 5.230 Å, 90.00 90.00 90.00°
Atoms (fractional coordinates):
Sb: 0.500 0.000 0.000
Sb: 0.000 0.500 0.000
Zn: 0.000 0.000 0.000
Te: 0.000 0.000 0.500
Rh: 0.500 0.500 0.500



Computed, not measured: a relaxed structure of ZnSb2TeRh at the PBE-GGA level of DFT.

- Electronic total energy: -18.16 eV per cell
- Crystal system: tetragonal
- D(E_F): 0.72 states/eV per atom

Cell: 5.040 5.040 5.644 Å, 90.00 90.00 90.00°
Atoms (fractional coordinates):
Sb: 0.500 0.000 0.000
Sb: 0.000 0.500 0.000
Zn: 0.500 0.500 0.500
Rh: 0.000 0.000 0.000
Te: 0.000 0.000 0.500



Computed, not measured: a relaxed structure of Th4Sb2Rh at the PBE-GGA level of DFT.

- Electronic total energy: -49.18 eV per cell
- Crystal system: monoclinic
- D(E_F): 1.29 states/eV per atom

Cell: 4.194 7.169 8.541 Å, 115.43 104.21 90.00°
Atoms (fractional coordinates):
Sb: 0.745 0.750 0.490
Sb: 0.255 0.250 0.510
Th: 0.893 0.224 0.787
Th: 0.610 0.268 0.220
Th: 0.390 0.732 0.780
Th: 0.107 0.776 0.213
Rh: 0.000 0.000 0.000



Computed, not measured: a relaxed structure of ThSb6Rh12 at the PBE-GGA level of DFT.

- Electronic total energy: -126.44 eV per cell
- Crystal system: trigonal
- D(E_F): 0.57 states/eV per atom

Cell: 7.532 7.532 7.532 Å, 107.32 107.32 107.32°
Atoms (fractional coordinates):
Rh: 0.876 0.500 0.124
Rh: 0.386 0.386 0.156
Rh: 0.876 0.124 0.500
Rh: 0.124 0.500 0.876
Rh: 0.500 0.124 0.876
Rh: 0.124 0.876 0.500
Rh: 0.386 0.156 0.386
Rh: 0.500 0.876 0.124
Rh: 0.844 0.614 0.614
Rh: 0.614 0.844 0.614
Rh: 0.614 0.614 0.844
Rh: 0.156 0.386 0.386
Sb: 0.731 0.731 0.299
Sb: 0.299 0.731 0.731
Sb: 0.269 0.269 0.701
Sb: 0.269 0.701 0.269
Sb: 0.731 0.299 0.731
Sb: 0.701 0.269 0.269
Th: 0.000 0.000 0.000



> Which value of electronic total energy does entry 3 give?

-20.77 eV per cell